Compound: LuCuMo2O8
Source: Alexandria
Functional: PBE+U
Structure: relaxed

Geometry as POSCAR:
```
LuCuMo2O8
1.0
4.894 -5.867 0.000
4.894 5.867 0.000
-0.172 0.000 5.041
Lu Cu Mo O
2 2 4 16
Cartesian
4.765 4.059 3.781
4.851 -4.059 1.260
4.851 1.869 1.260
4.765 -1.869 3.781
2.446 1.045 3.765
2.533 -1.045 1.244
7.083 1.045 3.797
7.169 -1.045 1.276
3.527 3.710 2.004
1.427 0.592 0.238
1.341 -0.592 2.758
3.614 2.206 4.553
3.457 0.625 2.202
6.175 3.710 0.517
3.371 -0.625 4.723
5.915 2.206 3.009
3.700 -2.206 2.032
6.245 0.625 0.318
3.440 -3.710 4.524
6.158 -0.625 2.839
6.001 -2.206 0.488
8.274 0.592 2.283
8.188 -0.592 4.803
6.089 -3.710 3.037
```

## Properties
- Total DFT energy (no corrections): -7.0933 eV/atom
- M_tot: 0.0 Bohr magnetons per cell